1.
Be2NiCl: optimized geometry, GGA-PBE.

Results
* E above lowest polymorph: 948 meV per atom
* uncorrected formation energy: 0.82 eV per atom
* calculated density: 3.899 g/cm³

The structure in POSCAR format:
```
Be2NiCl
1.0
2.896 2.719 0.897
-0.263 2.202 3.416
2.571 -0.704 3.079
Be Cl Ni
2 1 1
Direct
0.750 0.750 0.750 Be
0.250 0.250 0.250 Be
0.000 0.000 0.000 Cl
0.500 0.500 0.500 Ni
```

---

2.
BaPmGaHg: optimized geometry, GGA-PBE.

Results
* energy of formation from the pure elements: -0.345 eV/atom
* calculated density: 7.443 g/cm³

The structure in POSCAR format:
```
BaPmGaHg
1.0
5.587 0.000 0.000
2.793 4.838 0.000
2.793 1.613 4.562
Pm Hg Ba Ga
1 1 1 1
Direct
0.000 0.000 0.000 Pm
0.750 0.750 0.750 Hg
0.500 0.500 0.500 Ba
0.250 0.250 0.250 Ga
```

---

3.
Sc3TlH: optimized geometry, GGA-PBE.

Results
* E above lowest polymorph: 212 meV per atom
* calculated density: 5.603 g/cm³

The structure in POSCAR format:
```
Sc3TlH
1.0
-3.879 3.217 -3.515
2.687 -5.182 -1.918
-4.865 -3.368 2.285
Sc Tl H
6 2 2
Direct
0.000 0.000 0.000 Sc
0.017 0.485 0.750 Sc
0.485 0.017 0.250 Sc
0.983 0.515 0.250 Sc
0.515 0.983 0.750 Sc
0.000 0.000 0.500 Sc
0.521 0.479 0.750 Tl
0.479 0.521 0.250 Tl
0.890 0.110 0.750 H
0.110 0.890 0.250 H
```

---

4.
MoPt2Se: optimized geometry, GGA-PBE.

Results
* uncorrected formation energy: -0.01 eV per atom
* calculated density: 14.238 g/cm³

The structure in POSCAR format:
```
MoPt2Se
1.0
-3.964 -2.060 -7.903
-4.069 -4.685 -6.626
-6.159 -2.716 -6.091
Se Mo Pt
1 1 2
Direct
0.490 0.490 0.490 Se
0.753 0.753 0.753 Mo
0.005 0.005 0.005 Pt
0.251 0.251 0.251 Pt
```

---

5.
Ta2CuOs: optimized geometry, GGA-PBE.

Results
* energy of formation from the pure elements: 0.016 eV/atom
* calculated density: 16.168 g/cm³

The structure in POSCAR format:
```
Ta2CuOs
1.0
5.059 0.000 0.000
2.127 4.590 0.000
-3.593 -2.295 2.723
Ta Os Cu
2 1 1
Direct
0.250 0.750 0.500 Ta
0.000 0.000 0.000 Ta
0.750 0.250 0.500 Os
0.500 0.500 0.000 Cu
```

---

6.
Nd3HgSe: optimized geometry, GGA-PBE.

Results
* uncorrected formation energy: -0.88 eV per atom
* calculated density: 7.739 g/cm³

The structure in POSCAR format:
```
Nd3HgSe
1.0
-0.064 -4.060 -0.642
3.254 1.310 -8.612
14.978 -1.105 5.491
Nd Hg Se
12 4 4
Direct
0.250 0.673 0.711 Nd
0.750 0.327 0.289 Nd
0.750 0.019 0.609 Nd
0.750 0.827 0.211 Nd
0.250 0.344 0.542 Nd
0.250 0.844 0.958 Nd
0.250 0.981 0.391 Nd
0.250 0.173 0.789 Nd
0.750 0.656 0.458 Nd
0.750 0.156 0.042 Nd
0.250 0.481 0.109 Nd
0.750 0.519 0.891 Nd
0.750 0.896 0.806 Hg
0.250 0.604 0.306 Hg
0.250 0.104 0.194 Hg
0.750 0.396 0.694 Hg
0.250 0.816 0.549 Se
0.250 0.316 0.951 Se
0.750 0.184 0.451 Se
0.750 0.684 0.049 Se
```

---

7.
Ca2AlGa2: optimized geometry, GGA-PBE.

Results
* E above lowest polymorph: 526 meV per atom
* energy of formation from the pure elements: 0.077 eV/atom
* calculated density: 3.062 g/cm³

The structure in POSCAR format:
```
Ca2AlGa2
1.0
-2.030 -2.905 3.024
3.076 -3.315 -1.120
4.291 -1.115 5.398
Ca Ga Al
2 2 1
Direct
0.750 0.250 0.500 Ca
0.250 0.750 0.500 Ca
0.594 0.594 0.811 Ga
0.406 0.406 0.189 Ga
0.000 0.000 0.000 Al
```

---

8.
CaZrCl2: optimized geometry, GGA-PBE.

Results
* E above lowest polymorph: 275 meV per atom
* uncorrected formation energy: -0.90 eV per atom
* calculated density: 3.489 g/cm³

The structure in POSCAR format:
```
CaZrCl2
1.0
-2.025 -0.476 -2.543
-2.573 -5.252 3.032
-3.040 2.605 1.933
Cl Ca Zr
2 1 1
Direct
0.000 0.000 0.000 Cl
0.500 0.500 0.000 Cl
0.000 0.500 0.500 Ca
0.500 0.000 0.500 Zr
```

---

Copy entry 8 word for word.
CaZrCl2: optimized geometry, GGA-PBE.

Results
* E above lowest polymorph: 275 meV per atom
* uncorrected formation energy: -0.90 eV per atom
* calculated density: 3.489 g/cm³

The structure in POSCAR format:
```
CaZrCl2
1.0
-2.025 -0.476 -2.543
-2.573 -5.252 3.032
-3.040 2.605 1.933
Cl Ca Zr
2 1 1
Direct
0.000 0.000 0.000 Cl
0.500 0.500 0.000 Cl
0.000 0.500 0.500 Ca
0.500 0.000 0.500 Zr
```

---

Repeat the seventh record exactly.
Ca2AlGa2: optimized geometry, GGA-PBE.

Results
* E above lowest polymorph: 526 meV per atom
* energy of formation from the pure elements: 0.077 eV/atom
* calculated density: 3.062 g/cm³

The structure in POSCAR format:
```
Ca2AlGa2
1.0
-2.030 -2.905 3.024
3.076 -3.315 -1.120
4.291 -1.115 5.398
Ca Ga Al
2 2 1
Direct
0.750 0.250 0.500 Ca
0.250 0.750 0.500 Ca
0.594 0.594 0.811 Ga
0.406 0.406 0.189 Ga
0.000 0.000 0.000 Al
```